1.
The following is a PBE calculation of a relaxed structure of Na2UGeSe4, from the Alexandria database.

- Uncorrected formation energy: -0.96 eV per atom

Cell lengths 7.2218, 4.1467, 7.2597 Å; angles 90.00, 108.65, 90.00 degrees
Space group P2/m (No. 10)
Symmetry-distinct sites (fractional):
Na: 0.0000 0.0000 0.0000
Na: 0.5000 0.5000 0.0000
U: 0.0000 0.5000 0.5000
Ge: 0.5000 0.0000 0.5000
Se: 0.2419 0.0000 0.7264
Se: 0.2536 0.5000 0.2780

2.
The following is a PBE calculation of a relaxed structure of Cs3Rb9Na2, from the Alexandria database.

- Formation enthalpy at 0 K: 30.8 meV per atom

Cell lengths 7.2919, 18.3248, 18.6220 Å; angles 90.00, 90.00, 90.00 degrees
Space group Immm (No. 71)
Symmetry-distinct sites (fractional):
Cs: 0.0000 0.0000 0.0000
Cs: 0.0000 0.0000 0.3015
Rb: 0.0000 0.2839 0.1330
Rb: 0.0000 0.3678 0.3701
Rb: 0.0000 0.5000 0.0000
Na: 0.0000 0.1558 0.5000

no.,final energy (eV per atom),total magnetic moment (μB/cell)
1,-5.022,2.0
2,-0.963,0.0